No. 1
VASP calculation (PBEsol) on FeRe2Au after structural relaxation.

Calculated values
Crystal system = cubic
Total DFT energy (no corrections) = -9.24 eV/atom
DFT formation energy = 0.644 eV per atom

Cell: 4.3298 4.3298 4.3298 Å, 60.00 60.00 60.00°
Last column: magnetic moment on the atom in μB.
Positions (direct):
1 Fe 0.5000 0.5000 0.5000  2.33
2 Au 0.0000 0.0000 0.0000  0.03
3 Re 0.2500 0.2500 0.2500  0.02
4 Re 0.7500 0.7500 0.7500  0.02


No. 2
VASP calculation (PBEsol) on SnHgPCl2 after structural relaxation.

Calculated values
Formation energy without anion corrections = 0.04 eV/atom
Crystal system = tetragonal
Total DFT energy (no corrections) = -2.88 eV/atom

Cell: 5.0565 5.0565 5.1968 Å, 90.00 90.00 90.00°
Last column: magnetic moment on the atom in μB.
Positions (direct):
1 P 0.0000 0.0000 0.5000  0.10
2 Cl 0.0000 0.5000 0.0000  0.01
3 Cl 0.5000 0.0000 0.0000  0.01
4 Sn 0.0000 0.0000 0.0000  0.00
5 Hg 0.5000 0.5000 0.5000  0.00


No. 3
VASP calculation (PBEsol) on Co5Se4Cl2O12 after structural relaxation.

Calculated values
Formation energy without anion corrections = -0.68 eV/atom
Crystal system = triclinic
Total DFT energy (no corrections) = -5.95 eV/atom

Cell: 6.4950 7.5352 7.7476 Å, 66.72 71.12 81.77°
Last column: magnetic moment on the atom in μB.
Positions (direct):
1 O 0.8395 0.5840 0.4571  0.13
2 O 0.4168 0.6921 0.4970  0.10
3 O 0.3586 0.1084 0.3801  0.13
4 O 0.0433 0.8106 0.6321  0.15
5 O 0.5833 0.3079 0.5030  0.10
6 O 0.8264 0.0563 0.7951  0.12
7 O 0.6414 0.8916 0.6199  0.13
8 O 0.9567 0.1894 0.3679  0.15
9 O 0.1605 0.4160 0.5429  0.13
10 O 0.2635 0.0793 0.7784  0.12
11 O 0.1736 0.9437 0.2049  0.12
12 O 0.7365 0.9207 0.2216  0.12
13 Co 0.6723 0.1152 0.3569  2.52
14 Co 0.1140 0.6963 0.4365  2.54
15 Co 0.3277 0.8848 0.6431  2.52
16 Co 0.0000 0.0000 0.0000  2.51
17 Co 0.8860 0.3037 0.5635  2.54
18 Cl 0.8245 0.3159 0.0037  0.12
19 Cl 0.1755 0.6841 0.9963  0.12
20 Se 0.7862 0.8356 0.7874  0.03
21 Se 0.2138 0.1644 0.2126  0.03
22 Se 0.6568 0.6819 0.3181  0.03
23 Se 0.3432 0.3181 0.6819  0.03


No. 4
VASP calculation (PBEsol) on Ce2O3 after structural relaxation.

Calculated values
Formation energy without anion corrections = -3.30 eV/atom
Crystal system = cubic
Total DFT energy (no corrections) = -9.09 eV/atom

Cell: 9.4817 9.4817 9.4817 Å, 109.47 109.47 109.47°
Last column: magnetic moment on the atom in μB.
Positions (direct):
1 Ce 0.4799 0.7500 0.2299  0.85
2 Ce 0.2701 0.5201 0.7500  0.85
3 Ce 0.0000 0.0000 0.5000  0.82
4 Ce 0.7299 0.4799 0.2500  0.85
5 Ce 0.5000 0.0000 0.0000  0.82
6 Ce 0.9799 0.7500 0.7299  0.85
7 Ce 0.7701 0.0201 0.7500  0.85
8 Ce 0.7500 0.2299 0.4799  0.85
9 Ce 0.2299 0.9799 0.2500  0.85
10 Ce 0.2500 0.2701 0.0201  0.85
11 Ce 0.0000 0.5000 0.0000  0.82
12 Ce 0.7500 0.7299 0.9799  0.85
13 Ce 0.2500 0.7701 0.5201  0.85
14 Ce 0.0201 0.2500 0.2701  0.85
15 Ce 0.5201 0.2500 0.7701  0.85
16 Ce 0.5000 0.5000 0.5000  0.82
17 O 0.5205 0.9909 0.7573  -0.03
18 O 0.0205 0.2632 0.5296  -0.03
19 O 0.0296 0.0205 0.7632  -0.03
20 O 0.2336 0.4909 0.9704  -0.03
21 O 0.9795 0.7368 0.4704  -0.03
22 O 0.9909 0.2573 0.0205  -0.03
23 O 0.2632 0.0296 0.5205  -0.03
24 O 0.2573 0.5205 0.4909  -0.03
25 O 0.7664 0.5091 0.0296  -0.03
26 O 0.2427 0.7336 0.2632  -0.03
27 O 0.7427 0.4795 0.5091  -0.03
28 O 0.7368 0.9704 0.4795  -0.03
29 O 0.9704 0.9795 0.2368  -0.03
30 O 0.5296 0.7664 0.0091  -0.03
31 O 0.4909 0.4704 0.7336  -0.03
32 O 0.2368 0.7573 0.7664  -0.03
33 O 0.7632 0.2427 0.2336  -0.03
34 O 0.4704 0.2336 0.9909  -0.03
35 O 0.4795 0.0091 0.2427  -0.03
36 O 0.5091 0.5296 0.2664  -0.03
37 O 0.7336 0.7632 0.7427  -0.03
38 O 0.7573 0.2664 0.7368  -0.03
39 O 0.2664 0.2368 0.2573  -0.03
40 O 0.0091 0.7427 0.9795  -0.03


No. 5
VASP calculation (PBEsol) on MnGaFeO4 after structural relaxation.

Calculated values
Formation energy without anion corrections = -1.47 eV/atom
Crystal system = orthorhombic
Total DFT energy (no corrections) = -7.62 eV/atom

Cell: 5.8984 5.8855 5.8855 Å, 58.21 59.93 59.93°
Last column: magnetic moment on the atom in μB.
Positions (direct):
1 Ga 0.5000 0.5000 0.0000  0.04
2 Ga 0.0000 0.5000 0.0000  0.04
3 O 0.2687 0.2505 0.2121  0.04
4 O 0.2642 0.2633 0.7633  0.03
5 O 0.2909 0.7367 0.2367  0.03
6 O 0.7091 0.2633 0.7633  0.03
7 O 0.7358 0.7367 0.2367  0.03
8 O 0.7313 0.7495 0.7879  0.04
9 O 0.2687 0.7121 0.7505  0.04
10 O 0.7313 0.2879 0.2495  0.04
11 Mn 0.1226 0.1274 0.6274  4.20
12 Mn 0.8774 0.8726 0.3726  4.20
13 Fe 0.5000 0.0000 0.0000  1.25
14 Fe 0.5000 0.5000 0.5000  1.25


No. 6
VASP calculation (PBEsol) on MgTc2P after structural relaxation.

Calculated values
Crystal system = tetragonal
Total DFT energy (no corrections) = -7.67 eV/atom
DFT formation energy = -0.160 eV per atom

Cell: 2.9424 2.9424 6.6169 Å, 90.00 90.00 90.00°
Positions (direct):
1 Tc 0.0000 0.0000 0.3049
2 Tc 0.0000 0.0000 0.6951
3 P 0.5000 0.5000 0.5000
4 Mg 0.5000 0.5000 0.0000


> Which formula does entry 5 have?

MnGaFeO4


> total DFT energy (no corrections) of number 6 (MgTc2P)?

-7.67 eV/atom